1.
The following is a DFT calculation (PBE-GGA) of a relaxed structure of Ac4InGaHg2.

Lattice parameters (Å, degrees): 9.8899 9.8899 9.8899 33.59 33.59 33.59
Last column: nearest neighbours and their distance in Å.
Positions (direct):
Ac 0.1210 0.1210 0.1210  1 Ga 3.39, 4 Hg 3.43-3.50, 3 In 3.54
Ac 0.3711 0.3711 0.3711  3 Ga 3.46, 4 Hg 3.49-3.58, 1 In 3.61
Ac 0.6289 0.6289 0.6289  3 Ga 3.46, 4 Hg 3.49-3.58, 1 In 3.61
Ac 0.8790 0.8790 0.8790  1 Ga 3.39, 4 Hg 3.43-3.50, 3 In 3.54
In 0.5000 0.5000 0.5000  8 Ac 3.54-3.61
Ga 0.0000 0.0000 0.0000  8 Ac 3.39-3.46
Hg 0.2463 0.2463 0.2463  8 Ac 3.43-3.58
Hg 0.7537 0.7537 0.7537  8 Ac 3.43-3.58

Results
- DFT formation energy: -0.44 eV per atom
- VASP energy: -26.33 eV/f.u.


2.
The following is a DFT calculation (PBE-GGA) of a relaxed structure of Ac3InGa2Hg6.

Lattice parameters (Å, degrees): 6.7054 6.7054 9.0933 90.00 90.00 120.00
Last column: nearest neighbours and their distance in Å.
Positions (direct):
Ac 0.0000 0.0000 0.0000  6 Hg 3.27
Ac 0.3333 0.6667 0.6422  1 Ga 3.36, 6 Hg 3.44
Ac 0.6667 0.3333 0.3578  1 Ga 3.36, 6 Hg 3.44
In 0.0000 0.0000 0.5000  6 Hg 2.94
Ga 0.3333 0.6667 0.0119  3 Hg 2.97
Ga 0.6667 0.3333 0.9881  3 Hg 2.97
Hg 0.1819 0.3638 0.2749  1 In 2.94, 1 Ga 2.97, 2 Hg 3.05, 1 Ac 3.27
Hg 0.1819 0.8181 0.2749  1 In 2.94, 1 Ga 2.97, 2 Hg 3.05, 1 Ac 3.27
Hg 0.3638 0.1819 0.7251  1 In 2.94, 1 Ga 2.97, 2 Hg 3.05, 1 Ac 3.27
Hg 0.6362 0.8181 0.2749  1 In 2.94, 1 Ga 2.97, 2 Hg 3.05, 1 Ac 3.27
Hg 0.8181 0.1819 0.7251  1 In 2.94, 1 Ga 2.97, 2 Hg 3.05, 1 Ac 3.27
Hg 0.8181 0.6362 0.7251  1 In 2.94, 1 Ga 2.97, 2 Hg 3.05, 1 Ac 3.27

Results
- DFT formation energy: -0.23 eV per atom
- VASP energy: -25.65 eV/f.u.


3.
The following is a DFT calculation (PBE-GGA) of a relaxed structure of Ac2InGaHg6.

Lattice parameters (Å, degrees): 6.1561 9.2381 10.1183 90.00 90.00 90.00
Last column: nearest neighbours and their distance in Å.
Positions (direct):
Ac 0.2500 0.0015 0.2421  9 Hg 3.41-3.79
Ac 0.2500 0.4985 0.2421  9 Hg 3.41-3.79
Ac 0.7500 0.5015 0.7579  9 Hg 3.41-3.79
Ac 0.7500 0.9985 0.7579  9 Hg 3.41-3.79
In 0.2500 0.2500 0.7804  4 Hg 2.84-2.90
In 0.7500 0.7500 0.2196  4 Hg 2.84-2.90
Ga 0.2500 0.7500 0.7644  4 Hg 2.70-2.73
Ga 0.7500 0.2500 0.2356  4 Hg 2.70-2.73
Hg 0.0011 0.2500 0.5052  6 Hg 2.99-3.09, 1 Ga 3.14, 1 In 3.18
Hg 0.0049 0.7500 0.9860  1 Ga 2.70, 1 In 2.84, 1 Hg 3.02
Hg 0.2500 0.5052 0.6132  1 Ga 2.73, 1 In 2.90, 4 Hg 2.99-3.02
Hg 0.2500 0.9948 0.6132  1 Ga 2.73, 1 In 2.90, 4 Hg 2.99-3.02
Hg 0.4951 0.7500 0.9860  1 Ga 2.70, 1 In 2.84, 1 Hg 3.02
Hg 0.4989 0.2500 0.5052  6 Hg 2.99-3.09, 1 Ga 3.14, 1 In 3.18
Hg 0.5011 0.7500 0.4948  6 Hg 2.99-3.09, 1 Ga 3.14, 1 In 3.18
Hg 0.5049 0.2500 0.0140  1 Ga 2.70, 1 In 2.84, 1 Hg 3.02
Hg 0.7500 0.0052 0.3868  1 Ga 2.73, 1 In 2.90, 4 Hg 2.99-3.02
Hg 0.7500 0.4948 0.3868  1 Ga 2.73, 1 In 2.90, 4 Hg 2.99-3.02
Hg 0.9951 0.2500 0.0140  1 Ga 2.70, 1 In 2.84, 1 Hg 3.02
Hg 0.9989 0.7500 0.4948  6 Hg 2.99-3.09, 1 Ga 3.14, 1 In 3.18

Results
- DFT formation energy: -0.20 eV per atom
- VASP energy: -17.78 eV/f.u.


4.
The following is a DFT calculation (PBE-GGA) of a relaxed structure of Ac2InGa4Hg3.

Lattice parameters (Å, degrees): 4.6917 4.6917 11.2460 90.00 90.00 90.00
Last column: nearest neighbours and their distance in Å.
Positions (direct):
Ac 0.0000 0.5000 0.2445  6 Hg 3.56-3.71, 8 Ga 3.57-3.61, 2 In 3.71
Ac 0.5000 0.0000 0.7555  6 Hg 3.56-3.71, 8 Ga 3.57-3.61, 2 In 3.71
In 0.0000 0.0000 0.5000  4 Ga 2.81
Ga 0.0000 0.0000 0.0000  4 Hg 2.76
Ga 0.0000 0.5000 0.6379  3 Hg 2.62-2.81, 2 In 2.81
Ga 0.5000 0.0000 0.3621  3 Hg 2.62-2.81, 2 In 2.81
Ga 0.5000 0.5000 0.0000  4 Hg 2.76
Hg 0.0000 0.5000 0.8713  5 Ga 2.62-2.76
Hg 0.5000 0.0000 0.1287  5 Ga 2.62-2.76
Hg 0.5000 0.5000 0.5000  4 Ga 2.81

Results
- DFT formation energy: -0.40 eV per atom
- VASP energy: -27.93 eV/f.u.


5.
The following is a DFT calculation (PBE-GGA) of a relaxed structure of Ac2Ga4HgIr3.

Lattice parameters (Å, degrees): 4.4117 4.4117 10.7929 90.00 90.00 90.00
Last column: nearest neighbours and their distance in Å.
Positions (direct):
Ac 0.0000 0.5000 0.2402  6 Ir 3.36-3.57, 8 Ga 3.38-3.40, 2 Hg 3.57
Ac 0.5000 0.0000 0.7598  6 Ir 3.36-3.57, 8 Ga 3.38-3.40, 2 Hg 3.57
Ga 0.0000 0.0000 0.0000  4 Ir 2.59
Ga 0.0000 0.5000 0.6390  3 Ir 2.55-2.67, 2 Hg 2.67
Ga 0.5000 0.0000 0.3610  3 Ir 2.55-2.67, 2 Hg 2.67
Ga 0.5000 0.5000 0.0000  4 Ir 2.59
Hg 0.0000 0.0000 0.5000  4 Ga 2.67
Ir 0.0000 0.5000 0.8751  5 Ga 2.55-2.59
Ir 0.5000 0.0000 0.1249  5 Ga 2.55-2.59
Ir 0.5000 0.5000 0.5000  4 Ga 2.67

Results
- DFT formation energy: -0.55 eV per atom
- VASP energy: -52.71 eV/f.u.


6.
The following is a DFT calculation (PBE-GGA) of a relaxed structure of Ac3La3GaHg2.

Lattice parameters (Å, degrees): 9.0596 9.0596 4.3099 90.00 90.00 120.00
Last column: nearest neighbours and their distance in Å.
Positions (direct):
Ac 0.0000 0.4048 0.0000  4 Hg 3.50, 1 Ga 3.67, 6 La 3.82-3.86
Ac 0.4048 0.0000 0.0000  4 Hg 3.50, 1 Ga 3.67, 6 La 3.82-3.86
Ac 0.5952 0.5952 0.0000  4 Hg 3.50, 1 Ga 3.67, 6 La 3.82-3.86
La 0.0000 0.7530 0.5000  2 Ga 3.11, 2 Hg 3.48
La 0.2470 0.2470 0.5000  2 Ga 3.11, 2 Hg 3.48
La 0.7530 0.0000 0.5000  2 Ga 3.11, 2 Hg 3.48
Ga 0.0000 0.0000 0.0000  6 La 3.11
Hg 0.3333 0.6667 0.5000  3 La 3.48, 6 Ac 3.50
Hg 0.6667 0.3333 0.5000  3 La 3.48, 6 Ac 3.50

Results
- DFT formation energy: -0.33 eV per atom
- VASP energy: -33.69 eV/f.u.


- The lowest DFT formation energy belongs to which entry?
  Ac2Ga4HgIr3


- What is the formula in the third record?
  Ac2InGaHg6


- Which formula does entry 5 have?
  Ac2Ga4HgIr3